<1>
## Zn4Ag5Au2 (GGA-PBE)

Data for Zn4Ag5Au2 after structural relaxation.

Cell lengths 4.1045, 5.0861, 9.8186 Å; angles 79.32, 89.86, 66.28 degrees
Closest atoms and distances in Å follow each position.
Fractional positions:
Zn 0.0538 0.3908 0.3223  2 Au 2.71-2.72, 1 Zn 2.75, 7 Ag 2.78-2.96
Zn 0.3108 0.8776 0.2252  3 Zn 2.75-3.07, 3 Au 2.75-2.97, 6 Ag 2.76-2.91
Zn 0.6892 0.1224 0.7748  3 Zn 2.75-3.07, 3 Au 2.75-2.97, 6 Ag 2.76-2.91
Zn 0.9462 0.6092 0.6777  2 Au 2.71-2.72, 1 Zn 2.75, 7 Ag 2.78-2.96
Ag 0.1407 0.2181 0.9494  4 Zn 2.77-2.91, 3 Ag 2.91-2.99, 5 Au 2.92-2.96
Ag 0.2162 0.0679 0.5938  6 Zn 2.76-2.96, 1 Au 2.85, 5 Ag 2.89-2.97
Ag 0.5000 0.5000 0.5000  6 Zn 2.80-2.91, 6 Ag 2.89-2.97
Ag 0.7838 0.9321 0.4062  6 Zn 2.76-2.96, 1 Au 2.85, 5 Ag 2.89-2.97
Ag 0.8593 0.7819 0.0506  4 Zn 2.77-2.91, 3 Ag 2.91-2.99, 5 Au 2.92-2.96
Au 0.4221 0.6584 0.8525  5 Zn 2.71-2.97, 6 Ag 2.85-2.96, 1 Au 2.97
Au 0.5779 0.3416 0.1475  5 Zn 2.71-2.97, 6 Ag 2.85-2.96, 1 Au 2.97

Calculated values
As for the magnetic moment: 0.00 μB/f.u.

---

<2>
## Zn4Ag5Au2 (GGA-PBE)

Data for Zn4Ag5Au2 after structural relaxation.

Cell lengths 10.0676, 10.0676, 6.7380 Å; angles 94.04, 94.04, 16.35 degrees
Closest atoms and distances in Å follow each position.
Fractional positions:
Zn 0.0391 0.0391 0.3467  3 Ag 2.61-2.80, 2 Au 2.62-2.64, 3 Zn 2.68-2.86
Zn 0.3291 0.3291 0.5249  2 Au 2.74, 5 Ag 2.75-2.85, 4 Zn 2.86-3.06
Zn 0.6709 0.6709 0.4751  2 Au 2.74, 5 Ag 2.75-2.85, 4 Zn 2.86-3.06
Zn 0.9609 0.9609 0.6533  3 Ag 2.61-2.80, 2 Au 2.62-2.64, 3 Zn 2.68-2.86
Ag 0.1401 0.1401 0.1202  3 Zn 2.61-2.82, 1 Au 2.82, 4 Ag 2.86-2.90
Ag 0.2341 0.2341 0.8022  3 Zn 2.75-2.85, 1 Au 2.85, 7 Ag 2.86-3.05
Ag 0.5000 0.5000 0.0000  4 Zn 2.80, 2 Ag 2.86, 4 Au 3.09
Ag 0.7659 0.7659 0.1978  3 Zn 2.75-2.85, 1 Au 2.85, 7 Ag 2.86-3.05
Ag 0.8599 0.8599 0.8798  3 Zn 2.61-2.82, 1 Au 2.82, 4 Ag 2.86-2.90
Au 0.0922 0.0922 0.7168  4 Zn 2.62-2.74, 2 Ag 2.82-2.85, 2 Au 2.86
Au 0.9078 0.9078 0.2832  4 Zn 2.62-2.74, 2 Ag 2.82-2.85, 2 Au 2.86

Calculated values
As for the magnetic moment: 0.00 μB/f.u.

---

Which of them is the most stable? Correct choice: <1>.

---

<1>
## Zn5Ag2Au3 (GGA-PBE)

Data for Zn5Ag2Au3 after structural relaxation.

Cell lengths 14.2049, 14.2049, 5.5332 Å; angles 90.00, 90.00, 162.08 degrees
Closest atoms and distances in Å follow each position.
Fractional positions:
Zn 0.0459 0.9541 0.5000  5 Au 2.65-2.81, 1 Zn 2.78, 4 Ag 2.90-2.92
Zn 0.1316 0.8684 0.7531  4 Au 2.60-2.72, 3 Zn 2.78-2.81, 2 Ag 2.80
Zn 0.3000 0.7000 0.5880  3 Au 2.61-2.66, 3 Zn 2.74-2.84, 2 Ag 2.82
Zn 0.3041 0.6959 0.0823  4 Au 2.64-2.75, 2 Zn 2.74-2.80
Zn 0.4005 0.5995 0.5210  4 Au 2.64-2.80, 3 Zn 2.81-2.84, 2 Ag 2.88
Zn 0.5995 0.4005 0.0210  4 Au 2.64-2.80, 3 Zn 2.81-2.84, 2 Ag 2.88
Zn 0.6959 0.3041 0.5823  4 Au 2.64-2.75, 2 Zn 2.74-2.80
Zn 0.7000 0.3000 0.0880  3 Au 2.61-2.66, 3 Zn 2.74-2.84, 2 Ag 2.82
Zn 0.8684 0.1316 0.2531  4 Au 2.60-2.72, 3 Zn 2.78-2.81, 2 Ag 2.80
Zn 0.9541 0.0459 0.0000  5 Au 2.65-2.81, 1 Zn 2.78, 4 Ag 2.90-2.92
Ag 0.1470 0.8530 0.2522  6 Zn 2.80-2.88, 4 Au 2.95-3.09
Ag 0.4998 0.5002 0.2563  2 Ag 2.77, 5 Zn 2.90-3.09, 4 Au 2.94
Ag 0.5002 0.4998 0.7563  2 Ag 2.77, 5 Zn 2.90-3.09, 4 Au 2.94
Ag 0.8530 0.1470 0.7522  6 Zn 2.80-2.88, 4 Au 2.95-3.09
Au 0.0486 0.9514 0.0072  6 Zn 2.64-2.81, 4 Ag 2.94
Au 0.2223 0.7777 0.8458  7 Zn 2.60-2.75
Au 0.3991 0.6009 0.0159  7 Zn 2.69-2.80, 2 Ag 2.95
Au 0.6009 0.3991 0.5159  7 Zn 2.69-2.80, 2 Ag 2.95
Au 0.7777 0.2223 0.3458  7 Zn 2.60-2.75
Au 0.9514 0.0486 0.5072  6 Zn 2.64-2.81, 4 Ag 2.94

Calculated values
As for the magnetic moment: 0.00 μB/f.u.

---

<2>
## Zn5Ag2Au3 (GGA-PBE)

Data for Zn5Ag2Au3 after structural relaxation.

Cell lengths 8.7280, 8.7280, 8.7280 Å; angles 106.96, 83.77, 144.76 degrees
Closest atoms and distances in Å follow each position.
Fractional positions:
Zn 0.1554 0.6244 0.7798  3 Au 2.56-2.74, 2 Zn 2.74, 1 Ag 2.85
Zn 0.2500 0.0001 0.7501  5 Zn 2.60-2.74, 3 Au 2.60-2.66
Zn 0.2500 0.2500 0.0000  4 Zn 2.60-2.64, 4 Au 2.67
Zn 0.2500 0.4999 0.2499  5 Zn 2.60-2.74, 3 Au 2.60-2.66
Zn 0.3446 0.1244 0.4690  3 Au 2.56-2.74, 2 Zn 2.74, 1 Ag 2.85
Zn 0.6554 0.8756 0.5310  3 Au 2.56-2.74, 2 Zn 2.74, 1 Ag 2.85
Zn 0.7500 0.9999 0.2499  5 Zn 2.60-2.74, 3 Au 2.60-2.66
Zn 0.7500 0.5001 0.7501  5 Zn 2.60-2.74, 3 Au 2.60-2.66
Zn 0.7500 0.7500 0.0000  4 Zn 2.60-2.64, 4 Au 2.67
Zn 0.8446 0.3756 0.2202  3 Au 2.56-2.74, 2 Zn 2.74, 1 Ag 2.85
Ag 0.2472 0.8740 0.1212  4 Zn 2.85-2.93, 4 Au 2.92-2.94
Ag 0.2528 0.3740 0.6268  4 Zn 2.85-2.93, 4 Au 2.92-2.94
Ag 0.7472 0.6260 0.3732  4 Zn 2.85-2.93, 4 Au 2.92-2.94
Ag 0.7528 0.1260 0.8788  4 Zn 2.85-2.93, 4 Au 2.92-2.94
Au 0.1473 0.1261 0.2734  5 Zn 2.56-2.67
Au 0.2500 0.7500 0.5000  6 Zn 2.60-2.74, 2 Au 2.64
Au 0.3527 0.6261 0.9788  5 Zn 2.56-2.67
Au 0.6473 0.3739 0.0212  5 Zn 2.56-2.67
Au 0.7500 0.2500 0.5000  6 Zn 2.60-2.74, 2 Au 2.64
Au 0.8527 0.8739 0.7266  5 Zn 2.56-2.67

Calculated values
As for the magnetic moment: 0.00 μB/f.u.

---

Which of them is the most stable? Correct choice: <1>.